No. 1
Dy2ErTmS4 | PBE-GGA | relaxed

Calculated values
V in Å³ per atom: 20.63
Formation energy (no corrections) in meV/atom: -1966
Uncorrected energy in Ry per atom: -0.464

a b c (Å): 6.7218 3.8430 6.7580
angles (deg): 90.00 109.03 90.00
Closest atoms and distances in Å follow each position.
Space group P2/m (No. 10)
Symmetry-distinct sites (fractional):
Dy  0.0000  0.0000  0.0000  6 S 2.77
Dy  0.5000  0.5000  0.0000  6 S 2.76
Er  0.0000  0.5000  0.5000  6 S 2.73
Tm  0.5000  0.0000  0.5000  6 S 2.72
S  0.2494  0.0000  0.7451  1 Tm 2.72, 2 Er 2.73, 3 Dy 2.76-2.77
S  0.2529  0.5000  0.2556  2 Tm 2.72, 1 Er 2.73, 3 Dy 2.76-2.77



No. 2
Dy3ErTm3S8 | PBE-GGA | relaxed

Calculated values
V in Å³ per atom: 21.80
Formation energy (no corrections) in meV/atom: -2034
Uncorrected energy in Ry per atom: -0.467

a b c (Å): 7.7238 7.7238 18.9842
angles (deg): 90.00 90.00 120.00
Closest atoms and distances in Å follow each position.
Space group R-3m (No. 166, hexagonal axes)
Symmetry-distinct sites (fractional):
Dy  0.0000  0.5000  0.0000  6 S 2.75
Er  0.0000  0.0000  0.5000  6 S 2.74
Tm  0.0000  0.5000  0.5000  6 S 2.71
S  0.0000  0.0000  0.2481  3 Tm 2.71, 3 Dy 2.75
S  0.0033  0.5017  0.7511  2 Tm 2.71, 1 Er 2.74, 2 Dy 2.75



No. 3
DyErU2S4 | PBE-GGA | relaxed

Calculated values
V in Å³ per atom: 20.61
Formation energy (no corrections) in meV/atom: -1662
Uncorrected energy in Ry per atom: -0.565

a b c (Å): 6.6070 3.8052 6.9146
angles (deg): 90.00 108.51 90.00
Closest atoms and distances in Å follow each position.
Space group P2/m (No. 10)
Symmetry-distinct sites (fractional):
Dy  0.0000  0.0000  0.0000  6 S 2.73
Er  0.5000  0.5000  0.0000  6 S 2.72
U  0.0000  0.5000  0.5000  6 S 2.77
U  0.5000  0.0000  0.5000  6 S 2.75-2.76
S  0.2504  0.5000  0.2460  1 Er 2.72, 2 Dy 2.73, 3 U 2.75-2.77
S  0.2535  0.0000  0.7554  2 Er 2.72, 1 Dy 2.73, 3 U 2.76-2.77



No. 4
Dy2Y3ErS6 | PBE-GGA | relaxed

Calculated values
V in Å³ per atom: 21.04
Formation energy (no corrections) in meV/atom: -1992
Uncorrected energy in Ry per atom: -0.501

a b c (Å): 6.7461 11.7340 6.7646
angles (deg): 90.00 109.46 90.00
Closest atoms and distances in Å follow each position.
Space group C2/m (No. 12)
Symmetry-distinct sites (fractional):
Dy  0.0000  0.1669  0.0000  6 S 2.75-2.76
Y  0.0000  0.0000  0.5000  6 S 2.77-2.78
Y  0.0000  0.3319  0.5000  6 S 2.76-2.77
Er  0.0000  0.5000  0.0000  6 S 2.74
S  0.2478  0.3346  0.2472  1 Er 2.74, 2 Dy 2.75-2.76, 3 Y 2.76-2.77
S  0.2481  0.5000  0.7518  1 Er 2.74, 2 Dy 2.76, 3 Y 2.77-2.78



No. 5
Dy3YEr4S8 | PBE-GGA | relaxed

Calculated values
V in Å³ per atom: 20.76
Formation energy (no corrections) in meV/atom: -1970
Uncorrected energy in Ry per atom: -0.473

a b c (Å): 7.7689 7.7689 19.0612
angles (deg): 90.00 90.00 120.00
Closest atoms and distances in Å follow each position.
Space group R-3m (No. 166, hexagonal axes)
Symmetry-distinct sites (fractional):
Dy  0.0000  0.5000  0.0000  6 S 2.76
Y  0.0000  0.0000  0.0000  6 S 2.77
Er  0.0000  0.0000  0.5000  6 S 2.73
Er  0.0000  0.5000  0.5000  6 S 2.73
S  0.0000  0.0000  0.2486  3 Er 2.73, 3 Dy 2.76
S  0.0006  0.5003  0.2484  3 Er 2.73, 2 Dy 2.76, 1 Y 2.77



No. 6
Dy3Y4ErS8 | PBE-GGA | relaxed

Calculated values
V in Å³ per atom: 21.10
Formation energy (no corrections) in meV/atom: -1985
Uncorrected energy in Ry per atom: -0.501

a b c (Å): 7.8142 7.8142 19.1486
angles (deg): 90.00 90.00 120.00
Closest atoms and distances in Å follow each position.
Space group R-3m (No. 166, hexagonal axes)
Symmetry-distinct sites (fractional):
Dy  0.0000  0.5000  0.0000  6 S 2.76
Y  0.0000  0.0000  0.5000  6 S 2.78
Y  0.0000  0.5000  0.5000  6 S 2.77
Er  0.0000  0.0000  0.0000  6 S 2.74
S  0.0000  0.0000  0.2504  3 Dy 2.76, 3 Y 2.77
S  0.0019  0.5010  0.7491  1 Er 2.74, 2 Dy 2.76, 3 Y 2.77-2.78



No. 7
Dy4YErS8 | PBE-GGA | relaxed

Calculated values
V in Å³ per atom: 26.22
Formation energy (no corrections) in meV/atom: -1934
Uncorrected energy in Ry per atom: -0.470

a b c (Å): 8.0408 8.0408 19.6647
angles (deg): 90.00 90.00 120.00
Closest atoms and distances in Å follow each position.
Space group R3m (No. 160, hexagonal axes)
Symmetry-distinct sites (fractional):
Dy  0.0000  0.0000  0.0000  4 S 2.61
Dy  0.0001  0.5001  0.1247  6 S 2.76
Y  0.0000  0.0000  0.2494  4 S 2.61-2.62
Er  0.0000  0.0000  0.6245  6 S 2.73-2.74
S  0.0000  0.0000  0.3822  1 Y 2.61, 3 Dy 2.76
S  0.0000  0.0000  0.8675  4 Dy 2.61-2.76
S  0.0220  0.5110  0.3763  3 Dy 2.61-2.76, 1 Er 2.74
S  0.1779  0.3559  0.2062  1 Y 2.62, 1 Er 2.73, 2 Dy 2.76



No. 8
Dy3YEr2S6 | PBE-GGA | relaxed

Calculated values
V in Å³ per atom: 20.85
Formation energy (no corrections) in meV/atom: -1984
Uncorrected energy in Ry per atom: -0.478

a b c (Å): 6.7251 11.7004 6.7445
angles (deg): 90.00 109.47 90.00
Closest atoms and distances in Å follow each position.
Space group C2/m (No. 12)
Symmetry-distinct sites (fractional):
Dy  0.0000  0.0000  0.0000  6 S 2.74-2.77
Dy  0.0000  0.3349  0.0000  6 S 2.76
Y  0.0000  0.5000  0.5000  6 S 2.76
Er  0.0000  0.1664  0.5000  6 S 2.73-2.74
S  0.2459  0.0000  0.7470  2 Er 2.73, 3 Dy 2.74-2.76, 1 Y 2.76
S  0.2491  0.1682  0.2519  2 Er 2.73-2.74, 3 Dy 2.76-2.77, 1 Y 2.76



No. 9
DyY2Er3S6 | PBE-GGA | relaxed

Calculated values
V in Å³ per atom: 20.79
Formation energy (no corrections) in meV/atom: -1976
Uncorrected energy in Ry per atom: -0.488

a b c (Å): 16.9393 3.8799 7.8087
angles (deg): 90.00 103.54 90.00
Closest atoms and distances in Å follow each position.
Space group C2/m (No. 12)
Symmetry-distinct sites (fractional):
Dy  0.0000  0.0000  0.0000  6 S 2.76-2.77
Y  0.1666  0.5000  0.3330  6 S 2.76-2.77
Er  0.0000  0.0000  0.5000  6 S 2.73-2.74
Er  0.1668  0.5000  0.8335  6 S 2.73
S  0.0012  0.5000  0.7478  3 Er 2.73-2.74, 1 Y 2.76, 2 Dy 2.77
S  0.1656  0.0000  0.5862  3 Er 2.73, 3 Y 2.76-2.77
S  0.1675  0.0000  0.0801  3 Er 2.73, 1 Dy 2.76, 2 Y 2.77



No. 10
Dy4YEr3S8 | PBE-GGA | relaxed

Calculated values
V in Å³ per atom: 20.84
Formation energy (no corrections) in meV/atom: -1975
Uncorrected energy in Ry per atom: -0.474

a b c (Å): 7.7809 7.7809 19.0809
angles (deg): 90.00 90.00 120.00
Closest atoms and distances in Å follow each position.
Space group R-3m (No. 166, hexagonal axes)
Symmetry-distinct sites (fractional):
Dy  0.0000  0.0000  0.0000  6 S 2.75
Dy  0.0000  0.5000  0.0000  6 S 2.77
Y  0.0000  0.0000  0.5000  6 S 2.76
Er  0.0000  0.5000  0.5000  6 S 2.74
S  0.0000  0.0000  0.2486  3 Er 2.74, 3 Dy 2.77
S  0.0025  0.5012  0.7508  2 Er 2.74, 3 Dy 2.75-2.77, 1 Y 2.76



No. 11
DyY4Er3S8 | PBE-GGA | relaxed

Calculated values
V in Å³ per atom: 20.94
Formation energy (no corrections) in meV/atom: -1976
Uncorrected energy in Ry per atom: -0.500

a b c (Å): 7.7915 7.7915 19.1156
angles (deg): 90.00 90.00 120.00
Closest atoms and distances in Å follow each position.
Space group R-3m (No. 166, hexagonal axes)
Symmetry-distinct sites (fractional):
Dy  0.0000  0.0000  0.0000  6 S 2.75
Y  0.0000  0.0000  0.5000  6 S 2.76
Y  0.0000  0.5000  0.5000  6 S 2.78
Er  0.0000  0.5000  0.0000  6 S 2.74
S  0.0000  0.0000  0.2519  3 Er 2.74, 3 Y 2.78
S  0.0019  0.5010  0.2514  2 Er 2.74, 1 Dy 2.75, 3 Y 2.76-2.78



No. 12
Dy3Y2ErS6 | PBE-GGA | relaxed

Calculated values
V in Å³ per atom: 21.00
Formation energy (no corrections) in meV/atom: -1991
Uncorrected energy in Ry per atom: -0.490

a b c (Å): 6.7429 11.7284 6.7586
angles (deg): 90.00 109.47 90.00
Closest atoms and distances in Å follow each position.
Space group C2/m (No. 12)
Symmetry-distinct sites (fractional):
Dy  0.0000  0.0000  0.0000  6 S 2.76-2.77
Dy  0.0000  0.3316  0.0000  6 S 2.75-2.77
Y  0.0000  0.1669  0.5000  6 S 2.76-2.77
Er  0.0000  0.5000  0.5000  6 S 2.74
S  0.2468  0.5000  0.2498  1 Er 2.74, 3 Dy 2.77, 2 Y 2.77
S  0.2481  0.3349  0.7490  1 Er 2.74, 3 Dy 2.75-2.77, 2 Y 2.76



No. 13
Dy3Y3ErS8 | PBE-GGA | relaxed

Calculated values
V in Å³ per atom: 22.39
Formation energy (no corrections) in meV/atom: -2054
Uncorrected energy in Ry per atom: -0.498

a b c (Å): 7.8008 7.8008 19.1167
angles (deg): 90.00 90.00 120.00
Closest atoms and distances in Å follow each position.
Space group R-3m (No. 166, hexagonal axes)
Symmetry-distinct sites (fractional):
Dy  0.0000  0.5000  0.0000  6 S 2.75
Y  0.0000  0.5000  0.5000  6 S 2.76
Er  0.0000  0.0000  0.0000  6 S 2.74
S  0.0000  0.0000  0.2503  3 Dy 2.75, 3 Y 2.76
S  0.0012  0.5006  0.7493  1 Er 2.74, 2 Dy 2.75, 2 Y 2.76



No. 14
DyEr2ZrS4 | PBE-GGA | relaxed

Calculated values
V in Å³ per atom: 19.92
Formation energy (no corrections) in meV/atom: -1810
Uncorrected energy in Ry per atom: -0.489

a b c (Å): 6.6299 3.8417 6.6450
angles (deg): 90.00 109.68 90.00
Closest atoms and distances in Å follow each position.
Space group P2/m (No. 10)
Symmetry-distinct sites (fractional):
Dy  0.0000  0.0000  0.0000  6 S 2.72-2.73
Er  0.0000  0.5000  0.5000  6 S 2.73
Er  0.5000  0.0000  0.5000  6 S 2.70
Zr  0.5000  0.5000  0.0000  6 S 2.69
S  0.2550  0.0000  0.7524  2 Zr 2.69, 3 Er 2.70-2.73, 1 Dy 2.73
S  0.2545  0.5000  0.2506  1 Zr 2.69, 3 Er 2.70-2.73, 2 Dy 2.72



No. 15
Dy2ErZrS4 | PBE-GGA | relaxed

Calculated values
V in Å³ per atom: 20.06
Formation energy (no corrections) in meV/atom: -1821
Uncorrected energy in Ry per atom: -0.491

a b c (Å): 6.6496 3.8526 6.6556
angles (deg): 90.00 109.72 90.00
Closest atoms and distances in Å follow each position.
Space group P2/m (No. 10)
Symmetry-distinct sites (fractional):
Dy  0.0000  0.0000  0.0000  6 S 2.73
Dy  0.0000  0.5000  0.5000  6 S 2.75-2.76
Er  0.5000  0.0000  0.5000  6 S 2.70-2.71
Zr  0.5000  0.5000  0.0000  6 S 2.68
S  0.2560  0.5000  0.2492  1 Zr 2.68, 2 Er 2.70, 3 Dy 2.73-2.76
S  0.2577  0.0000  0.7552  2 Zr 2.68, 1 Er 2.71, 3 Dy 2.73-2.75



No. 16
DyErSb | PBE-GGA | relaxed

Calculated values
V in Å³ per atom: 27.60
Formation energy (no corrections) in meV/atom: -620
Uncorrected energy in Ry per atom: -0.371

a b c (Å): 3.9487 3.9487 10.6211
angles (deg): 90.00 90.00 90.00
Closest atoms and distances in Å follow each position.
Space group I4mm (No. 107)
Symmetry-distinct sites (fractional):
Dy  0.0000  0.0000  0.0000  4 Sb 3.25, 5 Er 3.28-3.45
Er  0.0000  0.0000  0.6916  4 Sb 3.22, 5 Dy 3.28-3.45
Sb  0.0000  0.0000  0.3433  4 Er 3.22, 4 Dy 3.25



No. 17
DyErSb | PBE-GGA | relaxed

Calculated values
V in Å³ per atom: 28.83
Formation energy (no corrections) in meV/atom: -414
Uncorrected energy in Ry per atom: -0.356

a b c (Å): 5.0578 5.0578 3.9034
angles (deg): 90.00 90.00 120.00
Closest atoms and distances in Å follow each position.
Space group P3m1 (No. 156)
Symmetry-distinct sites (fractional):
Dy  0.0000  0.0000  0.0000  3 Sb 3.12, 3 Er 3.45
Er  0.3333  0.6667  0.4704  3 Sb 3.07
Sb  0.6667  0.3333  0.7157  3 Er 3.07, 3 Dy 3.12



No. 18
DyEr4Sb2 | PBE-GGA | relaxed

Calculated values
V in Å³ per atom: 31.79
Formation energy (no corrections) in meV/atom: 294
Uncorrected energy in Ry per atom: -0.305

a b c (Å): 5.2238 5.2238 16.3115
angles (deg): 90.00 90.00 90.00
Closest atoms and distances in Å follow each position.
Space group I4/mmm (No. 139)
Symmetry-distinct sites (fractional):
Dy  0.0000  0.0000  0.0000  4 Er 2.61
Er  0.0000  0.0000  0.1836  1 Sb 2.99, 1 Dy 2.99
Er  0.0000  0.5000  0.0000  2 Dy 2.61
Sb  0.0000  0.0000  0.3669  1 Er 2.99



No. 19
DyErSb | PBE-GGA | relaxed

Calculated values
V in Å³ per atom: 28.98
Formation energy (no corrections) in meV/atom: -657
Uncorrected energy in Ry per atom: -0.374

a b c (Å): 11.7165 4.0821 8.2880
angles (deg): 90.00 118.67 90.00
Closest atoms and distances in Å follow each position.
Space group C2/m (No. 12)
Symmetry-distinct sites (fractional):
Dy  0.0695  0.0000  0.3441  5 Sb 3.18-3.30
Er  0.1530  0.5000  0.0556  3 Sb 3.05-3.17, 1 Er 3.24
Sb  0.1582  0.5000  0.6767  3 Er 3.05-3.17, 5 Dy 3.18-3.30



No. 20
Dy4ErSb5 | PBE-GGA | relaxed

Calculated values
V in Å³ per atom: 29.64
Formation energy (no corrections) in meV/atom: -1126
Uncorrected energy in Ry per atom: -0.403

a b c (Å): 4.3767 4.3767 30.9430
angles (deg): 90.00 90.00 90.00
Closest atoms and distances in Å follow each position.
Space group I4/mmm (No. 139)
Symmetry-distinct sites (fractional):
Dy  0.0000  0.0000  0.0999  6 Sb 3.09-3.10
Dy  0.0000  0.0000  0.3002  6 Sb 3.09-3.10
Er  0.0000  0.0000  0.5000  6 Sb 3.08-3.09
Sb  0.0000  0.0000  0.0000  2 Dy 3.09, 4 Er 3.09
Sb  0.0000  0.0000  0.2000  6 Dy 3.09-3.10
Sb  0.0000  0.0000  0.4004  1 Er 3.08, 5 Dy 3.09-3.10